Ba2HI2O2: optimized geometry, PBE-GGA.

Geometry as extended XYZ:
```
7
Lattice="4.8250 -2.2535 0.0000 4.8250 2.2535 0.0000 -0.8810 0.0000 10.3506" Properties=species:S:1:pos:R:3 pbc="T T T"
Ba 1.7360 0.0000 1.5387
Ba 7.0331 0.0000 8.8119
H 4.8250 0.0000 0.0000
I 0.3498 0.0000 6.7490
I 8.4192 0.0000 3.6016
O 2.7524 0.0000 10.0661
O 6.0167 0.0000 0.2845
```

Results
Total moment (Bohr magnetons per cell): 1.1
Symmetry: C2/m
Energy (eV/atom): -4.524

BaHIO: optimized geometry, PBE-GGA.

Geometry as extended XYZ:
```
16
Lattice="8.0818 0.0000 0.0000 0.0000 4.5347 0.0000 0.0000 0.0000 11.5082" Properties=species:S:1:pos:R:3 pbc="T T T"
Ba 1.5065 1.1337 0.9535
Ba 2.5344 3.4010 6.7076
Ba 5.5474 1.1337 4.8006
Ba 6.5753 3.4010 10.5547
H 1.7413 3.4010 10.4327
H 2.2996 1.1337 4.6786
H 5.7821 3.4010 6.8296
H 6.3405 1.1337 1.0755
I 0.2924 3.4010 3.6993
I 3.7485 1.1337 9.4534
I 4.3333 3.4010 2.0548
I 7.7893 1.1337 7.8089
O 1.0768 3.4010 11.1477
O 2.9640 1.1337 5.3936
O 5.1177 3.4010 6.1146
O 7.0049 1.1337 0.3605
```

Results
Total moment (Bohr magnetons per cell): 0.0
Symmetry: Pnma
Energy (eV/atom): -4.809

BaHI2O: optimized geometry, PBE-GGA.

Geometry as extended XYZ:
```
5
Lattice="4.4679 0.0000 0.0000 0.0000 4.4679 0.0000 0.0000 0.0000 6.5822" Properties=species:S:1:pos:R:3 pbc="T T T"
Ba 0.0000 0.0000 0.0000
H 2.2339 2.2339 3.2911
I 0.0000 2.2339 3.2911
I 2.2339 0.0000 3.2911
O 2.2339 2.2339 0.0000
```

Results
Total moment (Bohr magnetons per cell): 0.0
Symmetry: P4/mmm
Energy (eV/atom): -2.903
E above lowest polymorph (eV/atom): 0.0000

BaH2IO4: optimized geometry, PBE-GGA.

Geometry as extended XYZ:
```
8
Lattice="-2.5153 3.0748 3.6864 2.5153 -3.0748 3.6864 2.5153 3.0748 -3.6864" Properties=species:S:1:pos:R:3 pbc="T T T"
Ba 0.0000 0.0000 0.0000
H 2.5153 0.0000 2.3462
H 0.0000 3.0748 1.3402
I 0.0000 0.0000 3.6864
O 1.0562 2.4751 -1.3790
O 1.4591 0.5997 2.3074
O 1.4591 -0.5997 5.0654
O 1.0562 3.6744 1.3790
```

Results
Total moment (Bohr magnetons per cell): 0.0
Symmetry: I222
Energy (eV/atom): -4.805

BaHI2O: optimized geometry, PBE-GGA.

Geometry as extended XYZ:
```
5
Lattice="7.2728 0.0000 0.0000 0.0000 7.2728 0.0000 0.0000 0.0000 4.5290" Properties=species:S:1:pos:R:3 pbc="T T T"
Ba 0.0000 0.0000 0.0000
H 3.6364 3.6364 2.2645
I 0.0000 3.6364 0.0000
I 3.6364 0.0000 0.0000
O 0.0000 0.0000 2.2645
```

Results
Total moment (Bohr magnetons per cell): 2.4
Symmetry: P4/mmm
Energy (eV/atom): -2.821
E above lowest polymorph (eV/atom): 0.0819

BaHIO2: optimized geometry, PBE-GGA.

Geometry as extended XYZ:
```
5
Lattice="4.8611 0.0000 0.0000 0.0000 4.8611 0.0000 0.0000 0.0000 3.7916" Properties=species:S:1:pos:R:3 pbc="T T T"
Ba 0.0000 0.0000 0.0000
H 2.4305 2.4305 1.8958
I 2.4305 2.4305 0.0000
O 0.0000 2.4305 1.8958
O 2.4305 0.0000 1.8958
```

Results
Total moment (Bohr magnetons per cell): 2.3
Symmetry: P4/mmm
Energy (eV/atom): -3.728
E above lowest polymorph (eV/atom): 0.0000

BaHIO: optimized geometry, PBE-GGA.

Geometry as extended XYZ:
```
4
Lattice="4.6100 0.0000 0.0000 -2.3050 3.9924 0.0000 0.0000 0.0000 5.5390" Properties=species:S:1:pos:R:3 pbc="T T T"
Ba 0.0000 0.0000 0.0000
H 0.0000 2.6616 1.3870
I 2.3050 1.3308 2.9952
O 0.0000 2.6616 0.4071
```

Results
Total moment (Bohr magnetons per cell): 0.0
Symmetry: P3m1
Energy (eV/atom): -4.790

Ba2HIO6: optimized geometry, PBE-GGA.

Geometry as extended XYZ:
```
10
Lattice="5.6957 0.0000 0.0000 -2.7269 5.3963 0.0000 -2.7074 -1.9742 5.0483" Properties=species:S:1:pos:R:3 pbc="T T T"
Ba 0.0000 0.0000 0.0000
Ba -2.7147 1.5192 2.6593
H -0.4474 0.5134 4.9536
I 0.1076 3.4440 1.3123
O -1.3187 2.7422 0.2681
O -1.4246 0.4662 4.8468
O 0.1694 1.8029 2.2623
O 0.1531 4.9530 0.1628
O -0.9381 4.2845 2.5866
O 1.7394 3.9599 2.0730
```

Results
Total moment (Bohr magnetons per cell): 0.0
Symmetry: P1
Energy (eV/atom): -5.442

BaH2I2O7: optimized geometry, PBE-GGA.

Geometry as extended XYZ:
```
24
Lattice="6.7565 -4.1240 0.0000 6.7565 4.1240 0.0000 -6.0017 0.0000 6.8180" Properties=species:S:1:pos:R:3 pbc="T T T"
Ba 2.2552 2.9607 5.1135
Ba 5.2561 -2.9607 1.7045
H 5.4974 2.0041 0.9327
H 5.0147 2.0041 2.4763
H 2.4966 -2.0041 4.3417
H 2.0138 -2.0041 5.8853
I 2.4326 0.2518 2.1037
I -0.5683 -0.2518 5.5127
I 8.0795 0.2518 1.3053
I 5.0787 -0.2518 4.7143
O -1.7893 0.4240 4.3480
O 5.2561 2.5704 1.7045
O 1.2116 -0.4240 0.9390
O 1.2896 0.7622 3.4381
O 0.1321 1.2953 6.2406
O 4.2905 -0.7622 0.0291
O 4.3783 1.2953 3.9864
O 3.1330 -1.2953 2.8316
O 3.2208 0.7622 6.7889
O 7.3791 -1.2953 0.5774
O 6.2216 -0.7622 3.3799
O 6.2997 0.4240 5.8790
O 2.2552 -2.5704 5.1135
O 9.3006 -0.4240 2.4700
```

Results
Total moment (Bohr magnetons per cell): 0.0
Symmetry: C2/c
Energy (eV/atom): -4.926

BaHIO2: optimized geometry, PBE-GGA.

Geometry as extended XYZ:
```
5
Lattice="4.5362 0.0000 0.0000 0.0000 4.5362 0.0000 0.0000 0.0000 7.6381" Properties=species:S:1:pos:R:3 pbc="T T T"
Ba 0.0000 0.0000 0.0000
H 2.2681 2.2681 3.8190
I 0.0000 0.0000 3.8190
O 0.0000 2.2681 0.0000
O 2.2681 0.0000 0.0000
```

Results
Total moment (Bohr magnetons per cell): 0.7
Symmetry: P4/mmm
Energy (eV/atom): -3.214
E above lowest polymorph (eV/atom): 0.5139

Ba8P3HI4: optimized geometry, PBE-GGA.

Geometry as extended XYZ:
```
16
Lattice="4.7005 2.7138 8.2558 -4.7005 2.7138 8.2558 0.0000 -5.4277 8.2558" Properties=species:S:1:pos:R:3 pbc="T T T"
Ba -2.4075 -1.3900 14.0745
Ba 0.0000 0.0000 5.8281
Ba 0.0000 -2.7799 10.6931
Ba -2.4075 1.3900 10.6931
Ba 2.4075 -1.3900 14.0745
Ba 0.0000 2.7799 14.0745
Ba 0.0000 0.0000 18.9395
Ba 2.4075 1.3900 10.6931
P -4.7005 0.0000 12.3838
P -2.3502 1.3569 4.1279
P 2.3502 1.3569 4.1279
H 0.0000 0.0000 12.3838
I 0.0000 0.0000 0.0000
I -2.3502 -1.3569 8.2558
I -2.3502 1.3569 16.5117
I 0.0000 2.7138 8.2558
```

Results
Total moment (Bohr magnetons per cell): 0.0
Symmetry: R-3m
Energy (eV/atom): -3.822

Ba4PHI2: optimized geometry, PBE-GGA.

Geometry as extended XYZ:
```
8
Lattice="7.8923 0.0000 0.0000 0.0000 4.6716 0.0000 -2.5909 0.0000 8.2780" Properties=species:S:1:pos:R:3 pbc="T T T"
Ba 1.3954 0.0000 1.6311
Ba -0.0203 2.3358 6.5373
Ba 5.3217 2.3358 1.7407
Ba 3.9060 0.0000 6.6469
P 0.0000 2.3358 0.0000
H 3.9462 0.0000 0.0000
I -1.2955 0.0000 4.1390
I 2.6507 2.3358 4.1390
```

Results
Total moment (Bohr magnetons per cell): 0.9
Symmetry: P2/m
Energy (eV/atom): -3.514